# 1
# Li2CoHg

A relaxed structure of Li2CoHg (PBE, Alexandria via LeMat-Bulk).

a = 3.241 Å, b = 3.241 Å, c = 5.905 Å
α = 90.00°, β = 90.00°, γ = 90.00°
Atoms (fractional coordinates):
Li (0.000, 0.000, 0.000)
Li (0.500, 0.500, 0.264)
Co (0.000, 0.000, 0.483)
Hg (0.500, 0.500, 0.732)

* energy of formation from the pure elements: 62 kJ/mol of formula units
* magnetization: 1.21 μB per cell
* uncorrected energy: -2.648 eV per atom
* density: 7.32 g/cm3

# 2
# Li2CoHg

A relaxed structure of Li2CoHg (PBE, Alexandria via LeMat-Bulk).

a = 4.655 Å, b = 4.655 Å, c = 4.655 Å
α = 128.67°, β = 128.67°, γ = 75.54°
Atoms (fractional coordinates):
Li (0.000, 0.000, 0.000)
Li (0.750, 0.250, 0.500)
Co (0.500, 0.500, 0.000)
Hg (0.250, 0.750, 0.500)

* energy of formation from the pure elements: 28 kJ/mol of formula units
* magnetization: 1.27 μB per cell
* uncorrected energy: -2.737 eV per atom
* density: 7.59 g/cm3

# 3
# Li2CoHg

A relaxed structure of Li2CoHg (PBE, Alexandria via LeMat-Bulk).

a = 2.788 Å, b = 4.471 Å, c = 4.898 Å
α = 90.00°, β = 96.07°, γ = 90.00°
Atoms (fractional coordinates):
Li (0.228, 0.000, 0.270)
Li (0.772, 0.000, 0.730)
Co (0.000, 0.500, 0.500)
Hg (0.500, 0.500, 0.000)

* energy of formation from the pure elements: 41 kJ/mol of formula units
* magnetization: 1.12 μB per cell
* uncorrected energy: -2.703 eV per atom
* density: 7.48 g/cm3

# 4
# LiCoHg

A relaxed structure of LiCoHg (PBE, Alexandria via LeMat-Bulk).

a = 4.794 Å, b = 4.794 Å, c = 4.794 Å
α = 145.98°, β = 131.15°, γ = 60.87°
Atoms (fractional coordinates):
Li (0.000, 0.000, 0.000)
Co (0.664, 0.664, 0.000)
Hg (0.330, 0.330, 0.000)

* energy of formation from the pure elements: 63 kJ/mol of formula units
* magnetization: 1.30 μB per cell
* uncorrected energy: -2.890 eV per atom
* density: 9.63 g/cm3
* distance to the lowest polymorph of the same formula: 0.0 meV/atom

# 5
# LiCoHg2

A relaxed structure of LiCoHg2 (PBE, Alexandria via LeMat-Bulk).

a = 4.611 Å, b = 4.611 Å, c = 4.611 Å
α = 60.00°, β = 60.00°, γ = 60.00°
Atoms (fractional coordinates):
Li (0.000, 0.000, 0.000)
Co (0.250, 0.250, 0.250)
Hg (0.500, 0.500, 0.500)
Hg (0.750, 0.750, 0.750)

* energy of formation from the pure elements: 100 kJ/mol of formula units
* magnetization: 1.48 μB per cell
* uncorrected energy: -2.146 eV per atom
* density: 11.19 g/cm3

# 6
# Li2CoHg2

A relaxed structure of Li2CoHg2 (PBE, Alexandria via LeMat-Bulk).

a = 7.348 Å, b = 7.348 Å, c = 3.017 Å
α = 90.00°, β = 90.00°, γ = 90.00°
Atoms (fractional coordinates):
Li (0.129, 0.371, 0.000)
Li (0.371, 0.871, 0.000)
Li (0.629, 0.129, 0.000)
Li (0.871, 0.629, 0.000)
Co (0.000, 0.000, 0.000)
Co (0.500, 0.500, 0.000)
Hg (0.171, 0.671, 0.500)
Hg (0.329, 0.171, 0.500)
Hg (0.671, 0.829, 0.500)
Hg (0.829, 0.329, 0.500)

* energy of formation from the pure elements: 63 kJ/mol of formula units
* magnetization: 3.32 μB per cell
* uncorrected energy: -2.176 eV per atom
* density: 9.66 g/cm3
* distance to the lowest polymorph of the same formula: 21.3 meV/atom

# 7
# LiCo3Hg

A relaxed structure of LiCo3Hg (PBE, Alexandria via LeMat-Bulk).

a = 4.055 Å, b = 4.055 Å, c = 4.055 Å
α = 90.00°, β = 90.00°, γ = 90.00°
Atoms (fractional coordinates):
Li (0.000, 0.000, 0.000)
Co (0.000, 0.000, 0.500)
Co (0.000, 0.500, 0.000)
Co (0.500, 0.000, 0.000)
Hg (0.500, 0.500, 0.500)

* energy of formation from the pure elements: 450 kJ/mol of formula units
* magnetization: 4.19 μB per cell
* uncorrected energy: -3.773 eV per atom
* density: 9.57 g/cm3
* distance to the lowest polymorph of the same formula: 0.0 meV/atom

# 8
# LiCoHg2

A relaxed structure of LiCoHg2 (PBE, Alexandria via LeMat-Bulk).

a = 9.476 Å, b = 9.476 Å, c = 9.476 Å
α = 154.02°, β = 154.02°, γ = 37.07°
Atoms (fractional coordinates):
Li (0.000, 0.000, 0.000)
Li (0.750, 0.250, 0.500)
Co (0.250, 0.750, 0.500)
Co (0.500, 0.500, 0.000)
Hg (0.134, 0.625, 0.009)
Hg (0.375, 0.384, 0.509)
Hg (0.616, 0.125, 0.991)
Hg (0.875, 0.866, 0.491)

* energy of formation from the pure elements: 147 kJ/mol of formula units
* magnetization: 3.04 μB per cell
* uncorrected energy: -2.026 eV per atom
* density: 9.52 g/cm3

# 9
# LiCoHg2

A relaxed structure of LiCoHg2 (PBE, Alexandria via LeMat-Bulk).

a = 4.576 Å, b = 4.576 Å, c = 5.702 Å
α = 98.77°, β = 98.77°, γ = 37.72°
Atoms (fractional coordinates):
Li (0.000, 0.000, 0.000)
Co (0.500, 0.500, 0.500)
Hg (0.244, 0.244, 0.742)
Hg (0.756, 0.756, 0.258)

* energy of formation from the pure elements: 79 kJ/mol of formula units
* magnetization: 1.36 μB per cell
* uncorrected energy: -2.200 eV per atom
* density: 10.76 g/cm3

# 10
# LiCoHg

A relaxed structure of LiCoHg (PBE, Alexandria via LeMat-Bulk).

a = 4.380 Å, b = 4.380 Å, c = 2.743 Å
α = 90.00°, β = 90.00°, γ = 120.00°
Atoms (fractional coordinates):
Li (0.000, 0.000, 0.000)
Co (0.667, 0.333, 0.214)
Hg (0.333, 0.667, 0.624)

* energy of formation from the pure elements: 65 kJ/mol of formula units
* magnetization: 1.32 μB per cell
* uncorrected energy: -2.883 eV per atom
* density: 9.71 g/cm3
* distance to the lowest polymorph of the same formula: 7.5 meV/atom

# 11
# Li2CoHg2

A relaxed structure of Li2CoHg2 (PBE, Alexandria via LeMat-Bulk).

a = 7.161 Å, b = 7.161 Å, c = 3.427 Å
α = 90.00°, β = 90.00°, γ = 90.00°
Atoms (fractional coordinates):
Li (0.155, 0.345, 0.000)
Li (0.345, 0.845, 0.000)
Li (0.655, 0.155, 0.000)
Li (0.845, 0.655, 0.000)
Co (0.000, 0.000, 0.500)
Co (0.500, 0.500, 0.500)
Hg (0.152, 0.652, 0.500)
Hg (0.348, 0.152, 0.500)
Hg (0.652, 0.848, 0.500)
Hg (0.848, 0.348, 0.500)

* energy of formation from the pure elements: 53 kJ/mol of formula units
* magnetization: 3.02 μB per cell
* uncorrected energy: -2.197 eV per atom
* density: 8.96 g/cm3
* distance to the lowest polymorph of the same formula: 0.0 meV/atom

# 12
# Li2CoHg

A relaxed structure of Li2CoHg (PBE, Alexandria via LeMat-Bulk).

a = 5.621 Å, b = 5.621 Å, c = 5.621 Å
α = 102.51°, β = 102.51°, γ = 124.52°
Atoms (fractional coordinates):
Li (0.109, 0.625, 0.984)
Li (0.375, 0.359, 0.484)
Li (0.641, 0.125, 0.016)
Li (0.875, 0.891, 0.516)
Co (0.000, 0.000, 0.000)
Co (0.750, 0.250, 0.500)
Hg (0.250, 0.750, 0.500)
Hg (0.500, 0.500, 0.000)

* energy of formation from the pure elements: 101 kJ/mol of formula units
* magnetization: 2.63 μB per cell
* uncorrected energy: -2.548 eV per atom
* density: 7.01 g/cm3

# 13
# LiCoHg2

A relaxed structure of LiCoHg2 (PBE, Alexandria via LeMat-Bulk).

a = 5.602 Å, b = 5.602 Å, c = 5.602 Å
α = 147.93°, β = 132.09°, γ = 58.82°
Atoms (fractional coordinates):
Li (0.000, 0.000, 0.000)
Co (0.766, 0.266, 0.500)
Hg (0.268, 0.768, 0.500)
Hg (0.537, 0.537, 0.000)

* energy of formation from the pure elements: 63 kJ/mol of formula units
* magnetization: 1.20 μB per cell
* uncorrected energy: -2.243 eV per atom
* density: 11.29 g/cm3

# 14
# LiMg2CoHg

A relaxed structure of LiMg2CoHg (PBE, Alexandria via LeMat-Bulk).

a = 4.783 Å, b = 4.783 Å, c = 4.998 Å
α = 90.00°, β = 90.00°, γ = 90.00°
Atoms (fractional coordinates):
Li (0.000, 0.000, 0.000)
Mg (0.000, 0.500, 0.500)
Mg (0.500, 0.000, 0.500)
Co (0.500, 0.500, 0.500)
Hg (0.500, 0.500, 0.000)

* energy of formation from the pure elements: 92 kJ/mol of formula units
* magnetization: 0.00 μB per cell
* uncorrected energy: -2.312 eV per atom
* density: 4.58 g/cm3

# 15
# Li5CoHgN2

A relaxed structure of Li5CoHgN2 (PBE, Alexandria via LeMat-Bulk).

a = 4.114 Å, b = 4.114 Å, c = 7.526 Å
α = 90.00°, β = 90.00°, γ = 90.00°
Atoms (fractional coordinates):
Li (0.000, 0.000, 0.000)
Li (0.000, 0.500, 0.291)
Li (0.000, 0.500, 0.709)
Li (0.500, 0.000, 0.291)
Li (0.500, 0.000, 0.709)
Co (0.000, 0.000, 0.500)
Hg (0.500, 0.500, 0.000)
N (0.000, 0.000, 0.264)
N (0.000, 0.000, 0.736)

* magnetization: 2.03 μB per cell
* uncorrected energy: -4.035 eV per atom
* density: 4.20 g/cm3
* formation energy (no corrections): -0.299 eV per atom

# 16
# LiCo2HgPb

A relaxed structure of LiCo2HgPb (PBE, Alexandria via LeMat-Bulk).

a = 4.865 Å, b = 4.865 Å, c = 4.618 Å
α = 90.00°, β = 90.00°, γ = 90.00°
Atoms (fractional coordinates):
Li (0.000, 0.000, 0.000)
Co (0.000, 0.500, 0.500)
Co (0.500, 0.000, 0.500)
Hg (0.000, 0.000, 0.500)
Pb (0.500, 0.500, 0.000)

* energy of formation from the pure elements: 421 kJ/mol of formula units
* magnetization: 3.15 μB per cell
* uncorrected energy: -3.154 eV per atom
* density: 8.09 g/cm3

# 17
# LiCoSiHg2

A relaxed structure of LiCoSiHg2 (PBE, Alexandria via LeMat-Bulk).

a = 5.045 Å, b = 5.045 Å, c = 4.268 Å
α = 90.00°, β = 90.00°, γ = 90.00°
Atoms (fractional coordinates):
Li (0.000, 0.000, 0.000)
Co (0.500, 0.500, 0.500)
Si (0.500, 0.500, 0.000)
Hg (0.000, 0.500, 0.500)
Hg (0.500, 0.000, 0.500)

* magnetization: 0.00 μB per cell
* uncorrected energy: -2.926 eV per atom
* density: 7.57 g/cm3
* formation energy (no corrections): 0.083 eV per atom

# 18
# LiCoSn2Hg

A relaxed structure of LiCoSn2Hg (PBE, Alexandria via LeMat-Bulk).

a = 4.832 Å, b = 4.832 Å, c = 4.960 Å
α = 90.00°, β = 90.00°, γ = 90.00°
Atoms (fractional coordinates):
Li (0.000, 0.000, 0.000)
Co (0.000, 0.000, 0.500)
Sn (0.000, 0.500, 0.500)
Sn (0.500, 0.000, 0.500)
Hg (0.500, 0.500, 0.000)

* energy of formation from the pure elements: 3 kJ/mol of formula units
* magnetization: 0.00 μB per cell
* uncorrected energy: -3.460 eV per atom
* density: 7.22 g/cm3

# 19
# Li2CoSnHg

A relaxed structure of Li2CoSnHg (PBE, Alexandria via LeMat-Bulk).

a = 5.111 Å, b = 5.111 Å, c = 5.426 Å
α = 90.00°, β = 90.00°, γ = 90.00°
Atoms (fractional coordinates):
Li (0.000, 0.500, 0.000)
Li (0.500, 0.000, 0.000)
Co (0.000, 0.000, 0.500)
Sn (0.500, 0.500, 0.000)
Hg (0.500, 0.500, 0.500)

* energy of formation from the pure elements: 394 kJ/mol of formula units
* magnetization: 2.58 μB per cell
* uncorrected energy: -2.231 eV per atom
* density: 4.59 g/cm3

# 20
# LiCoSnHg2

A relaxed structure of LiCoSnHg2 (PBE, Alexandria via LeMat-Bulk).

a = 5.075 Å, b = 5.075 Å, c = 4.771 Å
α = 90.00°, β = 90.00°, γ = 90.00°
Atoms (fractional coordinates):
Li (0.000, 0.000, 0.000)
Co (0.500, 0.500, 0.500)
Sn (0.500, 0.500, 0.000)
Hg (0.000, 0.500, 0.500)
Hg (0.500, 0.000, 0.500)

* energy of formation from the pure elements: 42 kJ/mol of formula units
* magnetization: 0.00 μB per cell
* uncorrected energy: -2.638 eV per atom
* density: 7.92 g/cm3

# 21
# LiCo2HgTe

A relaxed structure of LiCo2HgTe (PBE, Alexandria via LeMat-Bulk).

a = 4.910 Å, b = 4.910 Å, c = 5.724 Å
α = 90.00°, β = 90.00°, γ = 90.00°
Atoms (fractional coordinates):
Li (0.000, 0.000, 0.000)
Co (0.000, 0.500, 0.500)
Co (0.500, 0.000, 0.500)
Hg (0.500, 0.500, 0.500)
Te (0.500, 0.500, 0.000)

* magnetization: 3.81 μB per cell
* uncorrected energy: -2.860 eV per atom
* density: 5.45 g/cm3
* formation energy (no corrections): 1.054 eV per atom

# 22
# LiTiCoHg2

A relaxed structure of LiTiCoHg2 (PBE, Alexandria via LeMat-Bulk).

a = 4.529 Å, b = 4.529 Å, c = 4.159 Å
α = 90.00°, β = 90.00°, γ = 90.00°
Atoms (fractional coordinates):
Li (0.000, 0.000, 0.000)
Ti (0.500, 0.500, 0.500)
Co (0.000, 0.000, 0.500)
Hg (0.000, 0.500, 0.000)
Hg (0.500, 0.000, 0.000)

* energy of formation from the pure elements: 307 kJ/mol of formula units
* magnetization: 0.00 μB per cell
* uncorrected energy: -2.867 eV per atom
* density: 10.02 g/cm3

# 23
# LiTl2CoHg

A relaxed structure of LiTl2CoHg (PBE, Alexandria via LeMat-Bulk).

a = 5.024 Å, b = 5.024 Å, c = 5.116 Å
α = 90.00°, β = 90.00°, γ = 90.00°
Atoms (fractional coordinates):
Li (0.000, 0.000, 0.000)
Tl (0.000, 0.500, 0.500)
Tl (0.500, 0.000, 0.500)
Co (0.500, 0.500, 0.500)
Hg (0.500, 0.500, 0.000)

* energy of formation from the pure elements: 85 kJ/mol of formula units
* magnetization: 0.10 μB per cell
* uncorrected energy: -2.634 eV per atom
* density: 8.68 g/cm3

# 24
# Lu2CoHg

A relaxed structure of Lu2CoHg (PBE, Alexandria via LeMat-Bulk).

a = 3.351 Å, b = 3.351 Å, c = 7.391 Å
α = 90.00°, β = 90.00°, γ = 90.00°
Atoms (fractional coordinates):
Lu (0.000, 0.000, 0.216)
Lu (0.000, 0.000, 0.784)
Co (0.500, 0.500, 0.000)
Hg (0.500, 0.500, 0.500)

* energy of formation from the pure elements: -150 kJ/mol of formula units
* magnetization: 0.35 μB per cell
* uncorrected energy: -4.501 eV per atom
* density: 12.19 g/cm3
* distance to the lowest polymorph of the same formula: 0.0 meV/atom

# 25
# Lu2CoHg

A relaxed structure of Lu2CoHg (PBE, Alexandria via LeMat-Bulk).

a = 7.956 Å, b = 7.956 Å, c = 7.956 Å
α = 27.11°, β = 27.11°, γ = 27.11°
Atoms (fractional coordinates):
Lu (0.231, 0.231, 0.231)
Lu (0.769, 0.769, 0.769)
Co (0.500, 0.500, 0.500)
Hg (0.000, 0.000, 0.000)

* energy of formation from the pure elements: -99 kJ/mol of formula units
* magnetization: 0.00 μB per cell
* uncorrected energy: -4.369 eV per atom
* density: 10.97 g/cm3
* distance to the lowest polymorph of the same formula: 131.8 meV/atom

# 26
# Lu2CoHg

A relaxed structure of Lu2CoHg (PBE, Alexandria via LeMat-Bulk).

a = 4.917 Å, b = 4.917 Å, c = 4.917 Å
α = 60.00°, β = 60.00°, γ = 60.00°
Atoms (fractional coordinates):
Lu (0.250, 0.250, 0.250)
Lu (0.750, 0.750, 0.750)
Co (0.000, 0.000, 0.000)
Hg (0.500, 0.500, 0.500)

* energy of formation from the pure elements: -101 kJ/mol of formula units
* magnetization: 0.65 μB per cell
* uncorrected energy: -4.375 eV per atom
* density: 12.04 g/cm3
* distance to the lowest polymorph of the same formula: 126.1 meV/atom

# 27
# NdLuCoHg

A relaxed structure of NdLuCoHg (PBE, Alexandria via LeMat-Bulk).

a = 5.065 Å, b = 5.065 Å, c = 5.065 Å
α = 60.00°, β = 60.00°, γ = 60.00°
Atoms (fractional coordinates):
Nd (0.000, 0.000, 0.000)
Lu (0.500, 0.500, 0.500)
Co (0.750, 0.750, 0.750)
Hg (0.250, 0.250, 0.250)

* energy of formation from the pure elements: -68 kJ/mol of formula units
* magnetization: 0.42 μB per cell
* uncorrected energy: -4.350 eV per atom
* density: 10.46 g/cm3

# 28
# PmLuCoHg

A relaxed structure of PmLuCoHg (PBE, Alexandria via LeMat-Bulk).

a = 5.045 Å, b = 5.045 Å, c = 5.045 Å
α = 60.00°, β = 60.00°, γ = 60.00°
Atoms (fractional coordinates):
Pm (0.000, 0.000, 0.000)
Lu (0.500, 0.500, 0.500)
Co (0.250, 0.250, 0.250)
Hg (0.750, 0.750, 0.750)

* energy of formation from the pure elements: -75 kJ/mol of formula units
* magnetization: 0.45 μB per cell
* uncorrected energy: -4.363 eV per atom
* density: 10.60 g/cm3

# 29
# LuScCoHg

A relaxed structure of LuScCoHg (PBE, Alexandria via LeMat-Bulk).

a = 4.829 Å, b = 4.829 Å, c = 4.829 Å
α = 60.00°, β = 60.00°, γ = 60.00°
Atoms (fractional coordinates):
Lu (0.000, 0.000, 0.000)
Sc (0.500, 0.500, 0.500)
Co (0.250, 0.250, 0.250)
Hg (0.750, 0.750, 0.750)

* energy of formation from the pure elements: -100 kJ/mol of formula units
* magnetization: 0.65 μB per cell
* uncorrected energy: -4.823 eV per atom
* density: 10.00 g/cm3